# NdLuAu

A geometry-optimized NdLuAu structure (GGA-PBE, Alexandria).

Computed properties:
ΔE to the lowest computed polymorph = 10.78 kJ per mole of atoms
energy relative to the elements = -422 meV per atom
mass density = 9.63 g/cm³

Cell lengths 7.088, 7.088, 7.088 Å; angles 90.00, 90.00, 90.00 degrees
Space group F-43m (No. 216)
Symmetry-distinct sites (fractional):
Nd  0.000  0.000  0.000 [4 per cell]
Lu  0.000  0.000  0.500 [4 per cell]
Au  0.250  0.250  0.250 [4 per cell]